Record 1
6
Lattice="6.9401 0.0000 0.0000 3.4700 6.0103 0.0000 3.4700 2.0034 5.6666" Properties=species:S:1:pos:R:3 comment="SrTb2 | the Alexandria database | GGA-PBE | optimized geometry" total_energy_ev_per_cell=-20.6 pbc="T T T"
Sr 0.0000 0.0000 0.0000
Sr 3.4700 2.0034 1.4166
Tb 5.2051 5.0086 3.5416
Tb 6.9401 2.0034 3.5416
Tb 8.6751 5.0086 3.5416
Tb 6.9401 4.0069 0.7083

=====

Record 2
7
Lattice="-5.8993 -5.5935 -2.4579 7.6135 -3.7629 0.0719 -1.8412 2.8132 7.7991" Properties=species:S:1:pos:R:3 comment="Sr6Tb | the Alexandria database | GGA-PBE | optimized geometry" total_energy_ev_per_cell=-5.6 pbc="T T T"
Sr 3.3147 -2.8139 3.3390
Sr 2.3002 -4.9156 0.7747
Sr 0.9510 -1.1699 5.2708
Sr -3.4417 -3.7292 2.0741
Sr -2.4272 -1.6275 4.6383
Sr -1.0780 -5.3732 0.1423
Tb 0.0000 0.0000 0.0000

=====

Record 3
4
Lattice="-3.2942 -1.3222 -1.6629 1.3597 -3.5220 0.1069 -5.1986 -1.6544 11.6140" Properties=species:S:1:pos:R:3 comment="Sr3Tb | the Alexandria database | GGA-PBE | optimized geometry" total_energy_ev_per_cell=-8.6 pbc="T T T"
Sr -1.7305 -2.5281 5.4384
Sr -1.9164 -2.7241 1.3425
Sr -5.3866 -1.8511 7.5228
Tb -5.0310 -1.6011 11.2397

=====

Record 4
3
Lattice="-0.5995 -2.1048 3.0225 3.2973 1.0578 1.3907 -4.8969 6.7803 1.4466" Properties=species:S:1:pos:R:3 comment="SrTb2 | the Alexandria database | GGA-PBE | optimized geometry" total_energy_ev_per_cell=-10.6 pbc="T T T"
Sr 0.0000 0.0000 0.0000
Tb 0.0693 1.7330 3.5241
Tb -2.2685 4.0004 2.3357